# 1
18
Lattice="-0.2262 0.7421 -4.1353 7.6354 -4.7263 0.8747 -6.4625 -10.7312 -1.5722" Properties=species:S:1:pos:R:3 comment="GGA-PBE LiPr2NdSe5, optimized geometry" e_form_raw_ev_per_atom=-1.74 energy_ev_per_atom=-5.48 spacegroup=Cmc2_1 pbc="T T T"
Se 0.1815 -1.1727 -0.2204
Pr -0.0809 -4.2562 -0.7593
Se -5.1592 -8.0819 -3.3085
Se 5.6415 -7.4045 -1.6373
Pr -2.7809 -8.2972 -1.3368
Se 2.0075 -3.2245 -2.8289
Se -2.6301 -10.2840 -3.8420
Pr 4.5736 -5.0134 -3.2902
Li -6.2829 -10.2921 -3.6437
Nd 1.2295 -7.6472 -3.5800
Li 4.2105 -9.4367 -1.9237
Se 0.0559 -9.6366 -1.7323
Se -1.2812 -6.1608 -3.1759
Nd 2.9445 -1.7092 -0.4678
Se -0.9782 -13.8783 -2.4369
Pr 0.4160 -11.4747 -4.2223
Se 2.4536 -6.2965 -1.2641
Se 3.0430 -9.7604 -4.0584



# 2
4
Lattice="4.9313 0.0000 0.0000 2.4657 4.2707 0.0000 2.4657 1.4236 4.0264" Properties=species:S:1:pos:R:3 comment="GGA-PBE Y2ZnCu, optimized geometry" energy_ev_per_atom=-4.44 formation_energy_ev_per_atom=0.13 spacegroup=F-43m pbc="T T T"
Cu 4.9313 2.8471 2.0132
Zn 2.4657 1.4236 1.0066
Y 7.3970 4.2707 3.0198
Y 0.0000 0.0000 0.0000



# 3
6
Lattice="-0.5043 -3.1282 1.4375 2.9620 -1.1347 -1.4300 5.5040 3.1889 8.8701" Properties=species:S:1:pos:R:3 comment="GGA-PBE Li3TlPb2, optimized geometry" energy_ev_per_atom=-2.84 formation_energy_ev_per_atom=-0.26 spacegroup=P4/mmm pbc="T T T"
Pb 5.7927 0.5128 7.3588
Li 3.6424 2.1103 5.8701
Li 0.0000 0.0000 0.0000
Pb 2.1690 -1.5868 1.5188
Li 1.8615 1.0785 3.0000
Tl 3.9808 -0.5370 4.4388



# 4
3
Lattice="9.0392 -1.1557 1.3589 7.0459 3.1293 1.2348 -7.6803 -0.9464 1.0387" Properties=species:S:1:pos:R:3 comment="GGA-PBE KTaW, optimized geometry" energy_ev_per_atom=-7.50 formation_energy_ev_per_atom=1.14 spacegroup=Cm pbc="T T T"
Ta 4.8501 0.7466 2.9098
W 3.4689 0.2367 0.7407
K 1.4448 -2.0583 2.3794



# 5
4
Lattice="-2.7924 -1.1085 -0.4495 -0.3686 -2.6518 -1.4355 -0.5553 -6.0498 8.1039" Properties=species:S:1:pos:R:3 comment="GGA-PBE HoMoAs2, optimized geometry" energy_ev_per_atom=-5.91 formation_energy_ev_per_atom=0.27 spacegroup=R-3m pbc="T T T"
As -0.6832 -4.8185 5.8623
Mo 0.0000 0.0000 0.0000
As -3.0331 -4.9916 0.3566
Ho -1.8582 -4.9050 3.1094



# 6
3
Lattice="3.6505 0.0000 0.0000 -1.8253 3.1615 0.0000 0.0000 0.0000 6.7413" Properties=species:S:1:pos:R:3 comment="GGA-PBE CaZrRh, optimized geometry" energy_ev_per_atom=-6.14 formation_energy_ev_per_atom=-0.18 spacegroup=P3m1 pbc="T T T"
Rh 1.8253 1.0538 2.4502
Ca 0.0000 0.0000 0.3662
Zr 0.0000 2.1076 3.9250



# 7
10
Lattice="3.7519 0.0000 0.0000 0.0000 3.7519 0.0000 0.0000 0.0000 18.7972" Properties=species:S:1:pos:R:3 comment="GGA-PBE Pm4MgHg5, optimized geometry" energy_ev_per_atom=-2.65 formation_energy_ev_per_atom=-0.44 spacegroup=P4/mmm pbc="T T T"
Hg 1.8760 1.8760 1.6417
Hg 1.8760 1.8760 13.2649
Pm 0.0000 0.0000 7.4485
Pm 0.0000 0.0000 15.2234
Pm 0.0000 0.0000 3.5739
Hg 1.8760 1.8760 17.1555
Hg 1.8760 1.8760 9.3986
Mg 0.0000 0.0000 0.0000
Pm 0.0000 0.0000 11.3487
Hg 1.8760 1.8760 5.5323



# 8
10
Lattice="-5.2508 -3.5198 -3.2745 -0.8571 -4.0860 5.7665 -1.7017 1.6718 0.9317" Properties=species:S:1:pos:R:3 comment="GGA-PBE V2Ni2W, optimized geometry" energy_ev_per_atom=-8.55 formation_energy_ev_per_atom=0.00 spacegroup=P4/mbm pbc="T T T"
W 0.0000 0.0000 0.0000
Ni -5.1450 -5.6317 0.7085
V -5.0984 -4.9114 3.0209
V -5.4668 -3.4026 -0.3593
V -2.7112 -1.0226 0.4027
Ni -3.3684 -2.6851 -1.3341
W -3.0540 -3.8029 1.2460
V -2.3429 -2.5314 3.7830
Ni -0.9630 -1.9741 1.7835
Ni -2.7396 -4.9207 3.8261



> Which formula does entry 7 have?

Pm4MgHg5